Entry 1:
Compound: AlCu2Pt
Source: Alexandria via LeMat-Bulk
Functional: SCAN
Structure: single point on PBEsol structure

abc: 4.7149 4.7149 4.3103
angles: 104.94 104.94 34.14
Closest atoms and distances in Å follow each position.
Sites, in units of the cell vectors:
Al (0.0000, 0.0000, 0.0000)  4 Pt 2.56, 6 Cu 2.58-2.78, 2 Al 2.77
Cu (0.2555, 0.2555, 0.7548)  6 Cu 2.55-2.77, 3 Al 2.58-2.78, 3 Pt 2.66-2.71
Cu (0.7445, 0.7445, 0.2452)  6 Cu 2.55-2.77, 3 Al 2.58-2.78, 3 Pt 2.66-2.71
Pt (0.5000, 0.5000, 0.5000)  4 Al 2.56, 6 Cu 2.66-2.71, 2 Pt 2.77

Values from the calculation:
**DFT formation energy**: -206 kJ/mol of formula units
**Uncorrected energy**: -27.6188 eV/atom

Entry 2:
Compound: AlCuPt2
Source: Alexandria via LeMat-Bulk
Functional: SCAN
Structure: single point on PBEsol structure

abc: 3.9428 3.9428 3.4985
angles: 90.00 90.00 90.00
Closest atoms and distances in Å follow each position.
Sites, in units of the cell vectors:
Al (0.0000, 0.0000, 0.0000)  8 Pt 2.64, 4 Cu 2.79
Cu (0.5000, 0.5000, 0.0000)  8 Pt 2.64, 4 Al 2.79
Pt (0.0000, 0.5000, 0.5000)  4 Al 2.64, 4 Cu 2.64, 4 Pt 2.79
Pt (0.5000, 0.0000, 0.5000)  4 Al 2.64, 4 Cu 2.64, 4 Pt 2.79

Values from the calculation:
**DFT formation energy**: -326 kJ/mol of formula units
**Uncorrected energy**: -41.6796 eV/atom

Entry 3:
Compound: AlCu2Pt
Source: Alexandria via LeMat-Bulk
Functional: SCAN
Structure: single point on PBEsol structure

abc: 4.6974 4.6974 4.6974
angles: 134.71 134.71 65.98
Closest atoms and distances in Å follow each position.
Sites, in units of the cell vectors:
Al (0.0000, 0.0000, 0.0000)  4 Pt 2.56, 8 Cu 2.67
Cu (0.2500, 0.7500, 0.5000)  4 Cu 2.56, 4 Al 2.67, 4 Pt 2.67
Cu (0.7500, 0.2500, 0.5000)  4 Cu 2.56, 4 Al 2.67, 4 Pt 2.67
Pt (0.5000, 0.5000, 0.0000)  4 Al 2.56, 8 Cu 2.67

Values from the calculation:
**DFT formation energy**: -220 kJ/mol of formula units
**Uncorrected energy**: -27.6554 eV/atom

Entry 4:
Compound: Al2CuRe
Source: Alexandria via LeMat-Bulk
Functional: SCAN
Structure: single point on PBEsol structure

abc: 4.0869 4.0869 3.2057
angles: 90.00 90.00 90.00
Closest atoms and distances in Å follow each position.
Sites, in units of the cell vectors:
Al (0.0000, 0.5000, 0.0000)  4 Re 2.60, 4 Cu 2.60, 4 Al 2.89
Al (0.5000, 0.0000, 0.0000)  4 Re 2.60, 4 Cu 2.60, 4 Al 2.89
Cu (0.0000, 0.0000, 0.5000)  8 Al 2.60, 4 Re 2.89
Re (0.5000, 0.5000, 0.5000)  8 Al 2.60, 4 Cu 2.89

Values from the calculation:
**DFT formation energy**: -124 kJ/mol of formula units
**Uncorrected energy**: -25.7706 eV/atom

Entry 5:
Compound: Al2CuRe
Source: Alexandria via LeMat-Bulk
Functional: SCAN
Structure: single point on PBEsol structure

abc: 2.6780 2.6780 7.8482
angles: 90.00 90.00 90.00
Closest atoms and distances in Å follow each position.
Sites, in units of the cell vectors:
Al (0.0000, 0.0000, 0.0000)  8 Al 2.68-2.91, 4 Re 2.73
Al (0.5000, 0.5000, 0.2815)  4 Cu 2.59, 4 Al 2.68
Cu (0.0000, 0.0000, 0.5058)  4 Al 2.59, 4 Cu 2.68, 4 Re 2.69
Re (0.5000, 0.5000, 0.7490)  4 Re 2.68, 4 Cu 2.69, 4 Al 2.73

Values from the calculation:
**DFT formation energy**: 23 kJ/mol of formula units
**Uncorrected energy**: -25.3901 eV/atom

Entry 6:
Compound: Al2CuRh
Source: Alexandria via LeMat-Bulk
Functional: SCAN
Structure: single point on PBEsol structure

abc: 4.7889 4.7889 4.7889
angles: 136.08 135.60 64.22
Closest atoms and distances in Å follow each position.
Sites, in units of the cell vectors:
Al (0.0000, 0.0000, 0.0000)  4 Rh 2.55, 4 Cu 2.70-2.72, 4 Al 2.71
Al (0.7489, 0.2489, 0.5000)  4 Cu 2.55, 4 Rh 2.70-2.72, 4 Al 2.71
Cu (0.2492, 0.7492, 0.5000)  8 Al 2.55-2.72, 4 Rh 2.71-2.72
Rh (0.4995, 0.4995, 0.0000)  8 Al 2.55-2.72, 4 Cu 2.71-2.72

Values from the calculation:
**DFT formation energy**: -296 kJ/mol of formula units
**Uncorrected energy**: -16.8848 eV/atom

Entry 7:
Compound: Al3CuRh
Source: Alexandria via LeMat-Bulk
Functional: SCAN
Structure: single point on PBEsol structure

abc: 4.6075 4.6075 4.6075
angles: 90.00 90.00 90.00
Closest atoms and distances in Å follow each position.
Sites, in units of the cell vectors:
Al (0.0000, 0.0000, 0.5000)  2 Rh 2.30
Al (0.0000, 0.5000, 0.0000)  2 Rh 2.30
Al (0.5000, 0.0000, 0.0000)  2 Rh 2.30
Cu (0.5000, 0.5000, 0.5000)  12 Al 3.26
Rh (0.0000, 0.0000, 0.0000)  6 Al 2.30

Values from the calculation:
**DFT formation energy**: 6 kJ/mol of formula units
**Uncorrected energy**: -14.4324 eV/atom

Entry 8:
Compound: Al2CuRh
Source: Alexandria via LeMat-Bulk
Functional: SCAN
Structure: single point on PBEsol structure

abc: 4.1966 4.1966 4.1966
angles: 60.00 60.00 60.00
Closest atoms and distances in Å follow each position.
Sites, in units of the cell vectors:
Al (0.2500, 0.2500, 0.2500)  4 Rh 2.57, 4 Cu 2.57
Al (0.7500, 0.7500, 0.7500)  4 Rh 2.57, 4 Cu 2.57
Cu (0.0000, 0.0000, 0.0000)  8 Al 2.57
Rh (0.5000, 0.5000, 0.5000)  8 Al 2.57

Values from the calculation:
**DFT formation energy**: -312 kJ/mol of formula units
**Uncorrected energy**: -16.9283 eV/atom

| no. | Fermi-level density of states (states/eV/atom) |
| --- | --- |
| 1 | 0.277 |
| 2 | 0.159 |
| 3 | 0.341 |
| 4 | 0.313 |
| 5 | 0.635 |
| 6 | 0.227 |
| 7 | 0.383 |
| 8 | 0.311 |